[1]
Lu2MgCu: relaxed, PBE.

abc: 3.386 3.386 8.022
angles: 90.00 90.00 90.00
Fractional positions:
Lu (0.000, 0.000, 0.208)
Lu (0.000, 0.000, 0.792)
Mg (0.500, 0.500, 0.500)
Cu (0.500, 0.500, 0.000)

## Properties
polymorph energy (0 for the lowest one)	0	meV/atom

[2]
Lu2MgCu: relaxed, PBE.

abc: 3.636 4.964 4.964
angles: 90.00 90.00 90.00
Fractional positions:
Lu (0.000, 0.500, 0.000)
Lu (0.000, 0.000, 0.500)
Cu (0.500, 0.000, 0.000)
Mg (0.500, 0.500, 0.500)

## Properties
polymorph energy (0 for the lowest one)	84	meV/atom

[3]
Lu2MgCu: relaxed, PBE.

abc: 5.030 5.030 5.030
angles: 60.00 60.00 60.00
Fractional positions:
Cu (0.500, 0.500, 0.500)
Lu (0.250, 0.250, 0.250)
Lu (0.750, 0.750, 0.750)
Mg (0.000, 0.000, 0.000)

## Properties
polymorph energy (0 for the lowest one)	123	meV/atom

[4]
NdLuMgCu: relaxed, PBE.

abc: 5.162 5.162 5.162
angles: 60.00 60.00 60.00
Fractional positions:
Cu (0.750, 0.750, 0.750)
Nd (0.500, 0.500, 0.500)
Mg (0.250, 0.250, 0.250)
Lu (0.000, 0.000, 0.000)

## Properties
energy	-3.79	eV/atom

[5]
LuMgCuOs: relaxed, PBE.

abc: 4.613 4.613 4.613
angles: 60.00 60.00 60.00
Fractional positions:
Lu (0.500, 0.500, 0.500)
Os (0.750, 0.750, 0.750)
Cu (0.250, 0.250, 0.250)
Mg (0.000, 0.000, 0.000)

## Properties
energy	-5.43	eV/atom

[6]
LuMgCuPb: relaxed, PBE.

abc: 4.988 4.988 4.988
angles: 60.00 60.00 60.00
Fractional positions:
Cu (0.250, 0.250, 0.250)
Pb (0.750, 0.750, 0.750)
Lu (0.500, 0.500, 0.500)
Mg (0.000, 0.000, 0.000)

## Properties
energy	-3.64	eV/atom

[7]
LuMgCuPd: relaxed, PBE.

abc: 4.682 4.682 4.682
angles: 60.00 60.00 60.00
Fractional positions:
Pd (0.750, 0.750, 0.750)
Cu (0.250, 0.250, 0.250)
Mg (0.500, 0.500, 0.500)
Lu (0.000, 0.000, 0.000)

## Properties
energy	-4.38	eV/atom

[8]
LuMgCuRh: relaxed, PBE.

abc: 4.629 4.629 4.629
angles: 60.00 60.00 60.00
Fractional positions:
Cu (0.750, 0.750, 0.750)
Rh (0.250, 0.250, 0.250)
Mg (0.000, 0.000, 0.000)
Lu (0.500, 0.500, 0.500)

## Properties
energy	-4.88	eV/atom

| no. | theoretical density (Mg/m³) |
| --- | --- |
| 1 | 7.9 |
| 2 | 8.1 |
| 3 | 8.1 |
| 4 | 6.9 |
| 5 | 10.8 |
| 6 | 8.9 |
| 7 | 8.4 |
| 8 | 8.7 |